The following is a DFT calculation (PBEsol) of a relaxed structure of TaSbIr2.

Cell lengths 3.014, 3.014, 7.317 Å; angles 90.00, 90.00, 90.00 degrees
Positions (direct):
Ta 0.000 0.000 0.000
Sb 0.500 0.500 0.714
Ir 0.000 0.000 0.488
Ir 0.500 0.500 0.221

## Properties
The total magnetization is 0.0 μB per formula unit. The calculation puts the energy relative to the elements, uncorrected at 0.24 eV/f.u. As for the energy: -36.517 eV for the cell shown.